RbCoSb2Te after structural relaxation. Source: Alexandria, functional PBE.

abc: 6.0163 6.0163 6.1081
angles: 90.00 90.00 90.00
With the nearest neighbours (Å) after each atom.
Fractional positions:
Te (0.0000, 0.0000, 0.5000)  2 Rb 3.05
Sb (0.5000, 0.0000, 0.0000)  2 Rb 3.01
Sb (0.0000, 0.5000, 0.0000)  2 Rb 3.01
Co (0.5000, 0.5000, 0.5000)  4 Te 4.25, 8 Sb 4.29
Rb (0.0000, 0.0000, 0.0000)  4 Sb 3.01, 2 Te 3.05

DFT total energy: -1.955 eV/atom
Magnetization: 2.5 Bohr magnetons per cell
Distance to the lowest polymorph of the same formula: 1927 meV/atom
E_form (uncorrected): 1.937 eV per atom